No. 1
DFT (PBE) results for a relaxed TlTeI3 crystal.

Raw formation energy: -1.09 eV per formula unit

a b c (Å): 6.1598 6.1598 6.1598
angles (deg): 90.00 90.00 90.00
Fractional coordinates of all 5 atoms:
Tl (0.0000, 0.0000, 0.0000)
Te (0.5000, 0.5000, 0.5000)
I (0.0000, 0.5000, 0.5000)
I (0.5000, 0.0000, 0.5000)
I (0.5000, 0.5000, 0.0000)

---

No. 2
DFT (PBE) results for a relaxed TlTe2I2 crystal.

Raw formation energy: -0.38 eV per formula unit

a b c (Å): 10.6159 10.6159 10.6159
angles (deg): 156.45 156.45 33.55
Fractional coordinates of all 5 atoms:
Tl (0.0000, 0.0000, 0.0000)
Te (0.2500, 0.7500, 0.5000)
Te (0.7500, 0.2500, 0.5000)
I (0.4108, 0.4108, 0.0000)
I (0.5892, 0.5892, 0.0000)

---

No. 3
DFT (PBE) results for a relaxed Tl2Te2I crystal.

Raw formation energy: -1.48 eV per formula unit

a b c (Å): 6.6215 6.6215 6.6215
angles (deg): 123.49 123.49 84.05
Fractional coordinates of all 5 atoms:
Tl (0.2500, 0.7500, 0.5000)
Tl (0.7500, 0.2500, 0.5000)
Te (0.1390, 0.1390, 0.0000)
Te (0.8610, 0.8610, 0.0000)
I (0.5000, 0.5000, 0.0000)

---

Which of these has the highest raw formation energy? TlTe2I2

---

Look up the raw formation energy of the second one. -0.38 eV per formula unit

---

What is the raw formation energy in the second record? -0.38 eV per formula unit